Compound: LiZnRh2
Source: the Alexandria database
Functional: meta-GGA SCAN
Structure: PBEsol geometry

Computed properties:
The calculation puts the energy relative to the elements at -231.9 meV/atom. The calculated total energy is -1.55038 Ry per atom. The density is 8.81 g/cm3.

Cell: 2.7761 4.2188 4.4785 Å, 90.00 90.00 90.00°
Sites, in units of the cell vectors:
Li 0.0000 0.0000 0.0000
Zn 0.5000 0.0000 0.5000
Rh 0.0000 0.5000 0.5000
Rh 0.5000 0.5000 0.0000